# Ce3TlAu2

Ce3TlAu2 after structural relaxation (PBE-GGA, Alexandria).

Properties
Total magnetization: 7.88 μB/cell
Formation enthalpy at 0 K: -0.32 eV per atom
Energy relative to the lowest polymorph listed for this composition: 3.489 kcal/mol of atoms
Uncorrected energy: -4.769 eV per atom

Cell lengths 8.349, 8.349, 8.349 Å; angles 54.81, 54.81, 54.81 degrees
Site moments in Bohr magnetons follow the coordinates.
Fractional positions:
Ce1 0.954 0.250 0.546  0.99
Ce2 0.454 0.046 0.750  0.99
Ce3 0.046 0.750 0.454  0.99
Ce4 0.250 0.546 0.954  0.99
Ce5 0.546 0.954 0.250  0.99
Ce6 0.750 0.454 0.046  0.99
Au1 0.652 0.652 0.652  0.03
Au2 0.348 0.348 0.348  0.03
Au3 0.848 0.848 0.848  0.03
Au4 0.152 0.152 0.152  0.03
Tl1 0.500 0.500 0.500  0.04
Tl2 0.000 0.000 0.000  0.04